Below is an optimized crystal structure of BaGa3Mo, with properties calculated at the PBE-GGA level.

Energy, eV/cell: -13.01
Energy relative to the elements, eV/f.u.: 8.83
Polymorph energy (0 for the lowest one), meV/atom: 2035
Density of states at the Fermi level, states/eV/f.u.: 6.12
Total moment, μB/atom: 0.781

a b c (Å): 5.8284 5.8284 5.8284
angles (deg): 90.00 90.00 90.00
Last column: nearest neighbours and their distance in Å.
Fractional coordinates of all 5 atoms:
Ba  0.0000  0.0000  0.0000  6 Ga 2.91
Ga  0.0000  0.0000  0.5000  2 Ba 2.91
Ga  0.0000  0.5000  0.0000  2 Ba 2.91
Ga  0.5000  0.0000  0.0000  2 Ba 2.91
Mo  0.5000  0.5000  0.5000  12 Ga 4.12